DFT (PBEsol) results for a relaxed structure of Li2MnP2O7.

Lattice parameters (Å, degrees): 5.0681 7.8630 13.5962 90.00 90.00 92.86
With the nearest neighbours (Å) after each atom.
Element x y z (fractional)
O (0.5619, 0.3351, 0.2258)  1 P 1.53
P (0.2433, 0.9666, 0.3275)  4 O 1.53-1.60
O (0.4660, 0.0436, 0.7027)  1 P 1.54
P (0.7433, 0.4666, 0.1725)  4 O 1.53-1.60
Li (0.7485, 0.1711, 0.3069)  4 O 1.88-2.03
Li (0.8169, 0.8600, 0.0965)  3 O 1.96-2.06
O (0.5340, 0.9564, 0.2973)  1 P 1.54
Li (0.6831, 0.6400, 0.5965)  3 O 1.96-2.06
Mn (0.2882, 0.2724, 0.6626)  5 O 2.10-2.18
Li (0.1831, 0.1400, 0.9035)  3 O 1.96-2.06
O (0.9660, 0.5436, 0.7973)  1 P 1.54
O (0.8549, 0.8530, 0.6858)  1 P 1.54
O (0.0340, 0.4564, 0.2027)  1 P 1.54
O (0.3238, 0.7131, 0.5758)  1 P 1.51
O (0.3549, 0.3530, 0.8142)  1 P 1.54
O (0.6451, 0.6470, 0.1858)  1 P 1.54
O (0.8238, 0.2131, 0.9242)  1 P 1.51
O (0.0619, 0.8351, 0.2742)  1 P 1.53
Li (0.7515, 0.3289, 0.8069)  4 O 1.88-2.03
O (0.7306, 0.4208, 0.0576)  2 P 1.60-1.65
P (0.7567, 0.0334, 0.6725)  4 O 1.53-1.60
O (0.2306, 0.9208, 0.4424)  2 P 1.60-1.65
Mn (0.7882, 0.7724, 0.8374)  5 O 2.10-2.18
Mn (0.2118, 0.2276, 0.1626)  5 O 2.10-2.18
P (0.7973, 0.2816, 0.5251)  4 O 1.51-1.65
O (0.0962, 0.3250, 0.5298)  1 P 1.54
O (0.8582, 0.1199, 0.1025)  1 P 1.55
O (0.1762, 0.7869, 0.0758)  1 P 1.51
Li (0.3169, 0.3600, 0.4035)  3 O 1.96-2.06
Mn (0.7118, 0.7276, 0.3374)  5 O 2.10-2.18
O (0.2694, 0.5792, 0.9424)  2 P 1.60-1.65
O (0.4381, 0.6649, 0.7742)  1 P 1.53
O (0.9381, 0.1649, 0.7258)  1 P 1.53
O (0.4038, 0.1750, 0.0298)  1 P 1.54
O (0.9038, 0.6750, 0.4702)  1 P 1.54
O (0.3582, 0.6199, 0.3975)  1 P 1.55
P (0.7027, 0.2184, 0.0251)  4 O 1.51-1.65
O (0.5962, 0.8250, 0.9702)  1 P 1.54
O (0.6418, 0.3801, 0.6025)  1 P 1.55
P (0.2027, 0.7184, 0.4749)  4 O 1.51-1.65
P (0.2973, 0.7816, 0.9749)  4 O 1.51-1.65
Li (0.2485, 0.6711, 0.1931)  4 O 1.88-2.03
P (0.2567, 0.5334, 0.8275)  4 O 1.53-1.60
Li (0.2515, 0.8289, 0.6931)  4 O 1.88-2.03
O (0.7694, 0.0792, 0.5576)  2 P 1.60-1.65
O (0.6762, 0.2869, 0.4242)  1 P 1.51
O (0.1418, 0.8801, 0.8975)  1 P 1.55
O (0.1451, 0.1470, 0.3142)  1 P 1.54

Computed properties:
Calculated volume ... 541.15 Å³ per cell
Calculated density ... 3.0 g cm⁻³
Density of states at the Fermi level ... 0.000 states/eV/cell
ΔE_f (raw) ... -2.1628 eV/atom
Energy above the lowest structure with this stoichiometry ... 15 meV/atom